# CeBiI

An optimized crystal structure of CeBiI (PBE-GGA, Alexandria).

Spin magnetization: 0.47 Bohr magnetons per cell
Energy relative to the lowest polymorph listed for this composition: 0.090 eV/atom

Structure (CIF):
```
data_CeBiI
_cell_length_a 7.6105
_cell_length_b 7.6105
_cell_length_c 7.6105
_cell_angle_alpha 90.00
_cell_angle_beta 90.00
_cell_angle_gamma 90.00
_space_group_name_H-M_alt 'F -4 3 m'
_space_group_IT_number 216
_space_group_name_Hall 'F -4 2 3'
loop_
_atom_site_label
_atom_site_type_symbol
_atom_site_fract_x
_atom_site_fract_y
_atom_site_fract_z
Ce1 Ce 0.0000 0.0000 0.0000
Bi1 Bi 0.2500 0.2500 0.2500
I1 I 0.2500 0.2500 0.7500
```